No. 1
18
Lattice="6.2898 0.0000 0.0000 0.0000 7.6697 -4.4282 0.0000 0.0003 8.8566" Properties=species:S:1:pos:R:3 comment="PBE Ce3InAu5, relaxed" space_group="P6_3/mcm, No. 193" formation_energy_ev_per_atom=-0.6367 pbc="T T T"
Ce 1.5724 4.9326 2.8478
Ce 4.7173 4.9322 -2.8477
Ce 4.7173 7.6698 1.2675
Ce 1.5724 2.7375 -1.5805
Ce 1.5724 0.0002 3.1609
Ce 4.7173 2.7374 1.5806
Au 1.5724 0.0004 6.1376
Au 0.0000 5.1132 0.0001
Au 0.0000 2.5568 4.4284
Au 4.7173 7.6696 -1.7091
Au 4.7173 2.3543 -1.3593
Au 3.1449 5.1132 0.0001
Au 4.7173 5.3151 3.0691
Au 1.5724 2.3549 1.3594
Au 3.1449 2.5568 4.4284
Au 1.5724 5.3154 -3.0689
In 3.1449 0.0000 0.0000
In 0.0000 0.0000 0.0000

***

No. 2
4
Lattice="3.5984 0.0000 0.0000 1.7992 3.1163 0.0000 1.7992 1.0388 7.1897" Properties=species:S:1:pos:R:3 comment="PBE Nd2RuN, relaxed" space_group="R-3m, No. 166" formation_energy_uncorrected_mev_per_atom=-501 pbc="T T T"
Ru 0.0000 0.0000 0.0000
Nd 1.7992 1.0388 2.1113
Nd 5.3975 3.1163 5.0784
N 3.5984 2.0775 3.5948

***

No. 3
12
Lattice="5.3011 0.0225 -1.5471 -1.0755 6.8869 -3.5863 -0.0893 0.5019 9.5579" Properties=species:S:1:pos:R:3 comment="PBE SrPm5Mg6, relaxed" space_group="Immm, No. 71" formation_energy_ev_per_atom=-0.0789 pbc="T T T"
Pm 3.3196 1.3195 1.5380
Pm 1.3412 2.6224 4.6337
Pm 0.8167 6.0919 2.8865
Pm -0.5377 3.4435 -1.7932
Pm 2.7952 4.7889 -0.2092
Mg 4.2489 0.9435 4.7110
Mg -0.1125 6.4679 -0.2866
Mg 2.3653 1.8371 -1.7243
Mg 1.8604 5.0723 -3.4091
Mg 0.4146 3.1126 1.4598
Mg 3.7217 4.2987 2.9647
Sr 0.0000 0.0000 0.0000

***

No. 4
4
Lattice="3.3083 0.0000 0.0000 0.0000 5.3221 0.0000 0.0000 0.0000 5.8468" Properties=species:S:1:pos:R:3 comment="PBE NdZr3, relaxed" space_group="Pmm2, No. 25" e_above_lowest_polymorph_kj_per_mol_atoms=0.00 formation_energy_ev_per_atom=0.1316 pbc="T T T"
Nd 0.0000 2.6610 1.9133
Zr 1.6542 0.0000 3.0716
Zr 1.6542 2.6610 4.8310
Zr 0.0000 0.0000 5.7756

***

Number 1: calculated density 11.81 g/cm3, D(E_F) 2.0142 states/eV per atom, E_tot -4.740 eV per atom. Number 2: calculated density 8.31 g/cm3, D(E_F) 0.6197 states/eV per atom, E_tot -7.285 eV per atom. Number 3: calculated density 4.44 g/cm3, D(E_F) 1.0786 states/eV per atom, E_tot -2.996 eV per atom. Number 4: calculated density 6.74 g/cm3, D(E_F) 1.0568 states/eV per atom, E_tot -7.471 eV per atom.